This record from the Alexandria database describes a relaxed Ac2InFeO6 crystal. The functional is PBE+U.

Structure (POSCAR):
```
Ac2InFeO6
1.0
5.867 0.000 -0.335
0.000 5.800 0.000
-2.744 -2.900 4.290
O In Fe Ac
6 1 1 2
Direct
0.348 0.759 0.517
0.792 0.808 0.102
0.208 0.192 0.898
0.792 0.295 0.102
0.652 0.241 0.483
0.208 0.705 0.898
0.000 0.500 0.000
0.500 0.000 0.000
0.240 0.251 0.503
0.760 0.749 0.497
```

Calculated values
Space group   C2/m (12)
Density   8.51 g/cm³
Magnetization   0.50 μB per atom
VASP energy   -7.114 eV/atom
D(E_F)   0.00 states/eV/f.u.